w:
Compound: BaPuAu2
Source: Alexandria via LeMat-Bulk
Functional: GGA-PBE
Structure: optimized geometry

Geometry as extended XYZ:
```
4
Lattice="-4.8768 -0.3233 1.3843 -2.9492 -3.6607 -1.9248 -1.2193 -4.6172 3.9465" Properties=species:S:1:pos:R:3 pbc="T T T"
Pu -4.5227 -4.3006 1.7030
Au -2.1306 -2.4597 1.2397
Au -6.9147 -6.1415 2.1662
Ba 0.0000 0.0000 0.0000
```

Summary:
total magnetization: 6.116 μB per formula unit
space-group type: No. 166

***

x:
Compound: BaPuAu2
Source: Alexandria via LeMat-Bulk
Functional: GGA-PBE
Structure: optimized geometry

Geometry as extended XYZ:
```
4
Lattice="-1.2608 -0.2935 4.2141 -2.9312 -3.0601 1.2157 4.3515 -6.0786 3.1844" Properties=species:S:1:pos:R:3 pbc="T T T"
Pu 1.5154 -8.2785 6.7943
Au 3.1256 -5.0207 2.8913
Au -0.1887 -2.1608 2.0989
Ba 0.1386 -4.7669 4.3212
```

Summary:
total magnetization: 6.036 μB per formula unit
space-group type: No. 160

***

y:
Compound: BaPuAu2
Source: Alexandria via LeMat-Bulk
Functional: GGA-PBE
Structure: optimized geometry

Geometry as extended XYZ:
```
4
Lattice="-0.0227 2.9877 -2.3882 -2.6896 -1.7105 -2.1144 -5.4926 3.3663 4.2635" Properties=species:S:1:pos:R:3 pbc="T T T"
Pu -1.3561 0.6386 -2.2513
Au -4.3584 2.6711 3.3831
Au -1.1342 0.6951 0.8804
Ba -4.1024 2.3218 -0.1195
```

Summary:
total magnetization: 5.924 μB per formula unit
space-group type: No. 123

***

Energies, relative to the best one, in eV/atom: w 0.099; x 0.118; y 0.000.

***

w:
Compound: RbBa2Au
Source: Alexandria via LeMat-Bulk
Functional: GGA-PBE
Structure: optimized geometry

Geometry as extended XYZ:
```
4
Lattice="0.0000 4.3674 4.3674 4.3674 0.0000 4.3674 4.3674 4.3674 0.0000" Properties=species:S:1:pos:R:3 pbc="T T T"
Rb 0.0000 0.0000 0.0000
Ba 6.5510 6.5510 6.5510
Ba 2.1837 2.1837 2.1837
Au 4.3674 4.3674 4.3674
```

Summary:
total magnetization: 0.000 μB per formula unit
space-group type: No. 225

***

x:
Compound: RbBa2Au
Source: Alexandria via LeMat-Bulk
Functional: GGA-PBE
Structure: optimized geometry

Geometry as extended XYZ:
```
8
Lattice="-2.6629 9.6573 -4.0548 -8.8154 -4.3259 -4.5135 -7.7851 3.4598 -1.0493" Properties=species:S:1:pos:R:3 pbc="T T T"
Ba -5.0135 7.4516 -3.8191
Ba -7.4878 -1.7231 -3.1318
Ba -9.1468 5.0831 -3.4899
Ba -16.8788 6.7710 -8.7944
Au 0.0000 0.0000 0.0000
Au -8.0936 7.8914 -4.6941
Rb -5.7392 2.6657 -4.2842
Rb -11.1699 0.8998 -4.9235
```

Summary:
total magnetization: 0.000 μB per formula unit
space-group type: No. 122

***

y:
Compound: RbBa2Au
Source: Alexandria via LeMat-Bulk
Functional: GGA-PBE
Structure: optimized geometry

Geometry as extended XYZ:
```
4
Lattice="4.8530 0.0003 -0.0038 -2.4267 4.1016 -0.8859 0.0004 -0.2301 12.0361" Properties=species:S:1:pos:R:3 pbc="T T T"
Ba 3.0208 1.9307 4.4173
Ba 0.5965 1.2989 8.1198
Au 0.5960 3.6656 5.8253
Rb -1.8497 3.7821 -0.1905
```

Summary:
total magnetization: 0.000 μB per formula unit
space-group type: No. 5

***

Energies, relative to the best one, in eV/atom: w 0.365; x 0.193; y 0.000.